# Sc2SbN | Alexandria | PBE-GGA | relaxed
data_Sc2SbN
_cell_length_a 4.227
_cell_length_b 4.227
_cell_length_c 8.455
_cell_angle_alpha 90.00
_cell_angle_beta 90.00
_cell_angle_gamma 90.00
_symmetry_space_group_name_H-M 'P 4/n m m'
_symmetry_Int_Tables_number 129
loop_
_symmetry_equiv_pos_as_xyz
'x,y,z'
'-x,-y,-z'
'-y+1/2,x,z'
'y+1/2,-x,-z'
'-x+1/2,-y+1/2,z'
'x+1/2,y+1/2,-z'
'y,-x+1/2,z'
'-y,x+1/2,-z'
'x+1/2,-y,-z'
'-x+1/2,y,z'
'-y,-x,-z'
'y,x,z'
'-x,y+1/2,-z'
'x,-y+1/2,z'
'y+1/2,x+1/2,-z'
'-y+1/2,-x+1/2,z'
loop_
_atom_site_label
_atom_site_fract_x
_atom_site_fract_y
_atom_site_fract_z
Sc1 0.250 0.250 0.185
Sc2 0.250 0.750 0.500
Sb1 0.250 0.250 0.822
N1 0.250 0.250 0.429
# **Formation energy from raw total energies**: -1.36 eV/atom
# **Energy above the lowest structure with this stoichiometry**: 0.000 eV per atom
# **DOS at the Fermi energy**: 0.107 states/eV per atom